Record 1
This record from Alexandria via LeMat-Bulk describes a geometry-optimized CoSi2Hg structure. The functional is PBE.

- formation energy from raw total energies (eV per atom) = 0.562

a b c (Å): 3.9213 3.9213 7.9218
angles (deg): 90.00 90.00 90.00
Space group I-4m2 (No. 119)
Inequivalent atoms, fractional coordinates:
Co 0.0000 0.0000 0.0000 x2
Si 0.0000 0.0000 0.5000 x2
Si 0.0000 0.5000 0.2500 x2
Hg 0.0000 0.5000 0.7500 x2

***

Record 2
This record from Alexandria via LeMat-Bulk describes a geometry-optimized Ce2GaPd3 structure. The functional is PBE.

- excess energy over the best structure of this formula in the dataset (meV/atom) = 0
- calculated formation energy (eV/atom) = -0.769

a b c (Å): 5.6415 5.6415 8.3594
angles (deg): 90.00 90.00 120.00
Space group P6_3/mmc (No. 194)
Inequivalent atoms, fractional coordinates:
Ce 0.3333 0.6667 0.0722 x4
Ga 0.0000 0.0000 0.0000 x2
Pd 0.1688 0.3375 0.7500 x6